Density functional theory data (PBE with a Hubbard U) for a relaxed structure of UFeO4.

Geometry as extended XYZ:
```
12
Lattice="5.789 0.000 0.000 0.000 5.036 0.000 -2.535 0.000 5.598" Properties=species:S:1:pos:R:3 pbc="T T T"
U 0.000 0.000 0.000
U -1.267 2.518 2.799
Fe 1.627 0.000 2.799
Fe 2.894 2.518 0.000
O 0.028 1.021 1.897
O -1.239 1.497 4.696
O 0.297 3.490 3.510
O 1.565 4.065 0.711
O 1.689 0.971 4.887
O 2.957 1.547 2.088
O 4.494 3.539 0.903
O 3.226 4.015 3.702
```

Output
Calculated total energy, eV/f.u.: -52.092
ΔE to the lowest computed polymorph, meV/atom: 0
Crystal system: monoclinic
Symmetry: P2_1/c